Here is GdHoCo2Ge2 after structural relaxation from OQMD. Energies are from PBE.

DFT total energy	-36.6	eV per cell
total moment	0.6	μB/f.u.
calculated density	8.841	g/cm3
volume	18.323	Å³/atom

a = 4.074 Å, b = 4.074 Å, c = 6.625 Å
α = 90.00°, β = 90.00°, γ = 90.00°
Site moments in Bohr magnetons follow the coordinates.
Atoms (fractional coordinates):
1 Ge 0.000 0.000 0.797  -0.01
2 Ge 0.500 0.500 0.199  -0.01
3 Co 0.000 0.500 0.998  0.32
4 Co 0.500 0.000 0.998  0.32
5 Gd 0.000 0.000 0.317  -0.01
6 Ho 0.500 0.500 0.690  -0.02

---

Here is GdHoCo2Ge4 after structural relaxation from OQMD. Energies are from PBE.

DFT total energy	-47.0	eV per cell
total moment	0.0	μB/f.u.
calculated density	8.477	g/cm3
volume	17.889	Å³/atom

a = 4.162 Å, b = 8.551 Å, c = 8.551 Å
α = 28.05°, β = 90.00°, γ = 90.00°
Atoms (fractional coordinates):
1 Ge 0.500 0.045 0.045
2 Ge 0.000 0.250 0.250
3 Ge 0.500 0.751 0.751
4 Ge 0.000 0.955 0.955
5 Co 0.500 0.181 0.181
6 Co 0.000 0.819 0.819
7 Ho 0.500 0.391 0.391
8 Gd 0.000 0.609 0.609

---

Here is LaGdCo2Ge2 after structural relaxation from OQMD. Energies are from PBE.

DFT total energy	-36.8	eV per cell
total moment	0.8	μB/f.u.
calculated density	7.890	g/cm3
volume	19.618	Å³/atom

a = 4.153 Å, b = 4.153 Å, c = 6.825 Å
α = 90.00°, β = 90.00°, γ = 90.00°
Site moments in Bohr magnetons follow the coordinates.
Atoms (fractional coordinates):
1 Co 0.500 0.000 0.004  0.48
2 Co 0.000 0.500 0.004  0.47
3 Ge 0.500 0.500 0.191  -0.01
4 Ge 0.000 0.000 0.819  -0.01
5 La 0.500 0.500 0.681  -0.03
6 Gd 0.000 0.000 0.301  -0.04

---

Here is LaGdCo2Ge4 after structural relaxation from OQMD. Energies are from PBE.

DFT total energy	-47.6	eV per cell
total moment	0.0	μB/f.u.
calculated density	7.881	g/cm3
volume	18.556	Å³/atom

a = 4.200 Å, b = 8.633 Å, c = 8.633 Å
α = 28.31°, β = 90.00°, γ = 90.00°
Atoms (fractional coordinates):
1 Co 0.500 0.819 0.819
2 Co 0.000 0.182 0.182
3 Ge 0.500 0.251 0.251
4 Ge 0.500 0.954 0.954
5 Ge 0.000 0.752 0.752
6 Ge 0.000 0.044 0.044
7 Gd 0.000 0.390 0.390
8 La 0.500 0.608 0.608